(1)
Density functional theory data (PBE) for a relaxed OsPbO3 crystal.

Results
DOS(E_F) = 0.754 states/eV per atom
Total energy = -0.2552 hartree per atom
Energy relative to the elements, uncorrected = -0.981 eV/atom

a b c (Å): 7.372 7.372 7.372
angles (deg): 60.00 60.00 60.00
Atoms (fractional coordinates):
Os: 0.125 0.125 0.625
Pb: 0.625 0.125 0.625
Os: 0.125 0.125 0.125
O: 0.806 0.194 0.194
O: 0.056 0.444 0.444
Pb: 0.125 0.625 0.625
O: 0.806 0.806 0.194
O: 0.194 0.806 0.194
O: 0.194 0.194 0.806
O: 0.806 0.194 0.806
O: 0.194 0.806 0.806
O: 0.056 0.444 0.056
O: 0.444 0.056 0.056
O: 0.444 0.056 0.444
Pb: 0.625 0.625 0.625
O: 0.444 0.444 0.056
O: 0.056 0.056 0.444
Os: 0.125 0.625 0.125
Pb: 0.625 0.625 0.125
Os: 0.625 0.125 0.125

=====

(2)
Density functional theory data (PBE) for a relaxed OsPb3O crystal.

Results
DOS(E_F) = 0.000 states/eV per atom
Total energy = -0.1819 hartree per atom
Energy relative to the lowest polymorph listed for this composition = 0.0 kJ per mole of atoms
Energy relative to the elements, uncorrected = 0.512 eV/atom

a b c (Å): 5.205 5.205 5.205
angles (deg): 90.00 90.00 90.00
Atoms (fractional coordinates):
O: 0.500 0.500 0.500
Pb: 0.500 0.000 0.000
Pb: 0.000 0.000 0.500
Pb: 0.000 0.500 0.000
Os: 0.000 0.000 0.000

=====

(3)
Density functional theory data (PBE) for a relaxed Os2Pb3O9 crystal.

Results
DOS(E_F) = 0.403 states/eV per atom
Total energy = -0.2404 hartree per atom
Energy relative to the elements, uncorrected = -0.955 eV/atom

a b c (Å): 7.465 7.465 7.465
angles (deg): 84.41 84.41 84.41
Each line ends with the local moment (μB).
Atoms (fractional coordinates):
Pb: 0.552 0.250 0.948  0.04
O: 0.069 0.735 0.923  0.15
O: 0.735 0.923 0.069  0.15
Os: 0.145 0.145 0.145  1.16
O: 0.265 0.077 0.931  0.15
O: 0.895 0.750 0.605  0.01
Os: 0.855 0.855 0.855  1.16
O: 0.431 0.577 0.765  0.15
Os: 0.645 0.645 0.645  1.16
O: 0.605 0.895 0.750  0.01
Pb: 0.750 0.052 0.448  0.04
O: 0.235 0.569 0.423  0.15
O: 0.105 0.250 0.395  0.01
Pb: 0.948 0.552 0.250  0.04
O: 0.577 0.765 0.431  0.15
Pb: 0.448 0.750 0.052  0.04
Pb: 0.250 0.948 0.552  0.04
O: 0.569 0.423 0.235  0.15
O: 0.765 0.431 0.577  0.15
O: 0.931 0.265 0.077  0.15
Pb: 0.052 0.448 0.750  0.04
O: 0.423 0.235 0.569  0.15
O: 0.923 0.069 0.735  0.15
O: 0.250 0.395 0.105  0.01
Os: 0.355 0.355 0.355  1.16
O: 0.395 0.105 0.250  0.01
O: 0.077 0.931 0.265  0.15
O: 0.750 0.605 0.895  0.01

=====

(4)
Density functional theory data (PBE) for a relaxed OsPbO2 crystal.

Results
DOS(E_F) = 0.666 states/eV per atom
Total energy = -0.2426 hartree per atom
Energy relative to the elements, uncorrected = -0.388 eV/atom

a b c (Å): 6.847 6.847 6.847
angles (deg): 28.01 28.01 28.01
Each line ends with the local moment (μB).
Atoms (fractional coordinates):
O: 0.874 0.874 0.874  0.08
O: 0.126 0.126 0.126  0.08
Os: 0.500 0.500 0.500  0.66
Pb: 0.000 0.000 0.000  -0.01

=====

(5)
Density functional theory data (PBE) for a relaxed OsPb2O5 crystal.

Results
DOS(E_F) = 0.622 states/eV per atom
Total energy = -0.2256 hartree per atom
Energy relative to the elements, uncorrected = -0.710 eV/atom

a b c (Å): 3.810 5.274 8.663
angles (deg): 85.44 77.30 68.83
Each line ends with the local moment (μB).
Atoms (fractional coordinates):
O: 0.460 0.756 0.324  0.04
Pb: 0.147 0.500 0.206  0.01
Pb: 0.853 0.500 0.794  0.01
O: 0.540 0.244 0.676  0.04
Os: 0.500 0.500 0.500  0.42
O: 0.000 0.500 0.500  0.00
O: 0.284 0.756 0.676  0.04
O: 0.716 0.244 0.324  0.04

=====

(6)
Density functional theory data (PBE) for a relaxed OsPb3O7 crystal.

Results
DOS(E_F) = 0.385 states/eV per atom
Total energy = -0.2283 hartree per atom
Energy relative to the elements, uncorrected = -1.024 eV/atom

a b c (Å): 6.769 6.769 7.605
angles (deg): 90.00 90.00 109.49
Atoms (fractional coordinates):
O: 0.197 0.441 0.499
O: 0.803 0.559 0.501
O: 0.197 0.441 0.001
Pb: 0.500 0.999 0.250
O: 0.499 0.499 0.750
Pb: 0.001 0.500 0.750
Pb: 0.500 0.001 0.750
Os: 0.500 0.500 0.500
O: 0.559 0.803 0.501
O: 0.501 0.501 0.250
Pb: 0.000 0.000 0.000
O: 0.441 0.197 0.001
O: 0.441 0.197 0.499
Pb: 0.999 0.500 0.250
Os: 0.500 0.500 0.000
O: 0.559 0.803 0.999
O: 0.848 0.152 0.250
O: 0.152 0.848 0.250
O: 0.152 0.848 0.750
Pb: 0.000 0.000 0.500
O: 0.848 0.152 0.750
O: 0.803 0.559 0.999

=====

(7)
Density functional theory data (PBE) for a relaxed OsPbO3 crystal.

Results
DOS(E_F) = 0.641 states/eV per atom
Total energy = -0.2500 hartree per atom
Energy relative to the elements, uncorrected = -0.840 eV/atom

a b c (Å): 3.913 5.834 6.774
angles (deg): 97.93 90.00 109.59
Atoms (fractional coordinates):
O: 0.050 0.100 0.170
Pb: 0.381 0.762 0.613
O: 0.321 0.642 0.041
O: 0.950 0.900 0.830
O: 0.177 0.354 0.645
O: 0.679 0.358 0.959
Os: 0.864 0.729 0.077
Os: 0.136 0.271 0.923
Pb: 0.619 0.238 0.387
O: 0.823 0.646 0.355

=====

(8)
Density functional theory data (PBE) for a relaxed Os2PbO8 crystal.

Results
DOS(E_F) = 0.696 states/eV per atom
Total energy = -0.2544 hartree per atom
Energy relative to the lowest polymorph listed for this composition = 0.8 kJ per mole of atoms
Energy relative to the elements, uncorrected = -0.938 eV/atom

a b c (Å): 5.600 6.622 6.622
angles (deg): 120.00 90.00 90.00
Each line ends with the local moment (μB).
Atoms (fractional coordinates):
O: 0.737 0.374 0.187  0.08
O: 0.263 0.187 0.813  0.08
O: 0.737 0.813 0.187  0.08
Pb: 0.500 0.000 0.000  0.02
Os: 0.837 0.667 0.333  0.55
O: 0.148 0.667 0.333  0.09
O: 0.737 0.813 0.626  0.08
O: 0.852 0.333 0.667  0.09
O: 0.263 0.187 0.374  0.08
O: 0.263 0.626 0.813  0.08
Os: 0.163 0.333 0.667  0.55

=====

(9)
Density functional theory data (PBE) for a relaxed OsPb2O crystal.

Results
DOS(E_F) = 0.041 states/eV per atom
Total energy = -0.1992 hartree per atom
Energy relative to the elements, uncorrected = 0.479 eV/atom

a b c (Å): 6.535 6.535 6.037
angles (deg): 57.23 57.23 90.00
Atoms (fractional coordinates):
Pb: 0.167 0.625 0.250
O: 0.250 0.750 0.500
Os: 0.000 0.000 0.000
Pb: 0.583 0.125 0.250
Pb: 0.375 0.417 0.750
Pb: 0.875 0.833 0.750
O: 0.500 0.500 0.000
Os: 0.750 0.250 0.500

=====

(10)
Density functional theory data (PBE) for a relaxed OsPbO2 crystal.

Results
DOS(E_F) = 0.261 states/eV per atom
Total energy = -0.2335 hartree per atom
Energy relative to the elements, uncorrected = -0.142 eV/atom

a b c (Å): 4.646 4.646 6.906
angles (deg): 70.35 70.35 90.00
Atoms (fractional coordinates):
Pb: 0.750 0.250 0.500
O: 0.875 0.746 0.750
Pb: 0.000 0.000 0.000
Os: 0.250 0.750 0.500
O: 0.375 0.504 0.750
Os: 0.500 0.500 0.000
O: 0.254 0.625 0.250
O: 0.496 0.125 0.250

=====

(11)
Density functional theory data (PBE) for a relaxed OsPbO4 crystal.

Results
DOS(E_F) = 0.248 states/eV per atom
Total energy = -0.2501 hartree per atom
Energy relative to the lowest polymorph listed for this composition = 0.0 kJ per mole of atoms
Energy relative to the elements, uncorrected = -1.011 eV/atom

a b c (Å): 6.368 6.002 6.002
angles (deg): 104.37 107.92 107.92
Atoms (fractional coordinates):
Pb: 0.750 0.635 0.365
O: 0.919 0.321 0.240
O: 0.021 0.117 0.847
Os: 0.250 0.995 0.005
O: 0.419 0.240 0.321
O: 0.521 0.847 0.117
O: 0.479 0.153 0.883
O: 0.081 0.679 0.760
Pb: 0.250 0.365 0.635
Os: 0.750 0.005 0.995
O: 0.979 0.883 0.153
O: 0.581 0.760 0.679

=====

(12)
Density functional theory data (PBE) for a relaxed Os2Pb2O7 crystal.

Results
DOS(E_F) = 0.616 states/eV per atom
Total energy = -0.2537 hartree per atom
Energy relative to the lowest polymorph listed for this composition = 0.0 kJ per mole of atoms
Energy relative to the elements, uncorrected = -1.033 eV/atom

a b c (Å): 7.448 7.448 7.448
angles (deg): 60.00 60.00 60.00
Each line ends with the local moment (μB).
Atoms (fractional coordinates):
Pb: 0.625 0.625 0.625  0.01
O: 0.192 0.808 0.192  0.04
Os: 0.125 0.125 0.625  0.48
Pb: 0.625 0.125 0.625  0.01
O: 0.442 0.058 0.058  0.04
O: 0.058 0.442 0.442  0.04
O: 0.808 0.192 0.192  0.04
O: 0.058 0.058 0.442  0.04
O: 0.808 0.192 0.808  0.04
O: 0.058 0.442 0.058  0.04
O: 0.500 0.500 0.500  0.01
O: 0.442 0.058 0.442  0.04
O: 0.442 0.442 0.058  0.04
O: 0.192 0.808 0.808  0.04
O: 0.192 0.192 0.808  0.04
O: 0.750 0.750 0.750  0.01
Os: 0.125 0.125 0.125  0.48
O: 0.808 0.808 0.192  0.04
Os: 0.625 0.125 0.125  0.48
Os: 0.125 0.625 0.125  0.48
Pb: 0.125 0.625 0.625  0.01
Pb: 0.625 0.625 0.125  0.01

=====

- Look up the energy relative to the elements, uncorrected of the seventh one.
  -0.840 eV/atom

=====

- Look up the energy relative to the elements, uncorrected of the sixth one.
  -1.024 eV/atom

=====

- total energy of number 4 (OsPbO2)?
  -0.2426 hartree per atom